[1]
{"formula": "AlCd2Ag5", "functional": "PBE", "state": "relaxed", "magmom_total_mub_per_fu": 0.0, "de_polymorph_mev_per_atom": 0, "dft_energy_ev_per_atom": -2.52, "space_group": "Pbam", "lattice": [[4.492, 0.000, 0.000], [0.000, 5.751, 0.000], [0.000, 0.000, 11.338]], "species": ["Ag", "Ag", "Ag", "Ag", "Ag", "Ag", "Ag", "Ag", "Ag", "Ag", "Cd", "Cd", "Cd", "Cd", "Al", "Al"], "frac_coords": [[0.500, 0.828, 0.394], [0.500, 0.672, 0.894], [0.500, 0.328, 0.106], [0.000, 0.919, 0.743], [0.000, 0.000, 0.000], [0.500, 0.172, 0.606], [0.000, 0.419, 0.757], [0.000, 0.581, 0.243], [0.000, 0.081, 0.257], [0.000, 0.500, 0.500], [0.500, 0.330, 0.361], [0.500, 0.170, 0.861], [0.500, 0.670, 0.639], [0.500, 0.830, 0.139], [0.000, 0.500, 0.000], [0.000, 0.000, 0.500]]}



[2]
{"formula": "GdSnPb", "functional": "PBE", "state": "relaxed", "magmom_total_mub_per_fu": 7.2, "de_polymorph_mev_per_atom": 37, "dft_energy_ev_per_atom": -7.54, "space_group": "I4mm", "lattice": [[4.379, 0.000, 0.000], [0.000, 4.379, 0.000], [-2.189, -2.189, 4.644]], "species": ["Pb", "Gd", "Sn"], "frac_coords": [[0.275, 0.275, 0.550], [0.614, 0.614, 0.228], [0.961, 0.961, 0.922]]}



[3]
{"formula": "Ru2SeF", "functional": "PBE", "state": "relaxed", "magmom_total_mub_per_fu": 0.0, "de_polymorph_mev_per_atom": 0, "dft_energy_ev_per_atom": -6.01, "space_group": "Fm-3m", "e_form_raw_ev_per_atom": -0.029, "lattice": [[0.000, 2.971, 2.971], [2.971, 0.000, 2.971], [2.971, 2.971, 0.000]], "species": ["Ru", "Ru", "Se", "F"], "frac_coords": [[0.250, 0.250, 0.250], [0.750, 0.750, 0.750], [0.500, 0.500, 0.500], [0.000, 0.000, 0.000]]}



[4]
{"formula": "Sr2GaSi", "functional": "PBE", "state": "relaxed", "magmom_total_mub_per_fu": 0.0, "dft_energy_ev_per_atom": -2.85, "space_group": "I-42d", "e_form_raw_ev_per_atom": 0.101, "lattice": [[-6.519, 5.342, 1.210], [-4.284, -6.145, 4.048], [-3.956, 0.654, 5.761]], "species": ["Sr", "Sr", "Sr", "Sr", "Si", "Si", "Ga", "Ga"], "frac_coords": [[0.138, 0.625, 0.250], [0.375, 0.388, 0.750], [0.875, 0.862, 0.750], [0.612, 0.125, 0.250], [0.500, 0.500, 0.000], [0.250, 0.750, 0.500], [0.750, 0.250, 0.500], [0.000, 0.000, 0.000]]}



[5]
{"formula": "HoSbPd", "functional": "PBE", "state": "relaxed", "magmom_total_mub_per_fu": 0.0, "dft_energy_ev_per_atom": -5.75, "space_group": "F-43m", "e_form_raw_ev_per_atom": -1.119, "lattice": [[4.653, 0.000, 0.000], [2.326, 4.030, 0.000], [2.326, 1.343, 3.799]], "species": ["Pd", "Sb", "Ho"], "frac_coords": [[0.250, 0.250, 0.250], [0.000, 0.000, 0.000], [0.500, 0.500, 0.500]]}



[6]
{"formula": "GaTc2P2", "functional": "PBE", "state": "relaxed", "magmom_total_mub_per_fu": 0.0, "de_polymorph_mev_per_atom": 52, "dft_energy_ev_per_atom": -7.10, "space_group": "P4/mbm", "lattice": [[6.926, 0.000, 0.000], [0.000, 6.926, 0.000], [0.000, 0.000, 2.989]], "species": ["Ga", "Ga", "Tc", "Tc", "Tc", "Tc", "P", "P", "P", "P"], "frac_coords": [[0.000, 0.000, 0.000], [0.500, 0.500, 0.000], [0.651, 0.151, 0.000], [0.849, 0.651, 0.000], [0.349, 0.849, 0.000], [0.151, 0.349, 0.000], [0.361, 0.139, 0.500], [0.639, 0.861, 0.500], [0.139, 0.639, 0.500], [0.861, 0.361, 0.500]]}



[7]
{"formula": "SmMg5Cd7", "functional": "PBE", "state": "relaxed", "magmom_total_mub_per_fu": 0.0, "dft_energy_ev_per_atom": -1.63, "space_group": "Imm2", "lattice": [[5.585, 0.000, 2.294], [2.812, 6.979, 1.099], [0.141, -0.030, 7.602]], "species": ["Cd", "Cd", "Cd", "Cd", "Cd", "Cd", "Cd", "Mg", "Mg", "Mg", "Mg", "Mg", "Sm"], "frac_coords": [[0.998, 0.350, 0.655], [0.341, 0.659, 0.659], [0.650, 0.350, 0.350], [0.998, 0.655, 0.350], [0.287, 0.213, 0.213], [0.504, 0.209, 0.784], [0.504, 0.784, 0.209], [0.718, 0.782, 0.782], [0.002, 0.003, 0.496], [0.499, 0.496, 0.003], [0.002, 0.496, 0.003], [0.499, 0.003, 0.496], [0.999, 0.001, 0.001]]}



[8]
{"formula": "AlAs2Se6", "functional": "PBE", "state": "relaxed", "magmom_total_mub_per_fu": 0.0, "dft_energy_ev_per_atom": -3.95, "space_group": "C2/c", "e_form_raw_ev_per_atom": -0.179, "lattice": [[6.508, 0.613, 0.594], [2.670, 9.489, 0.777], [2.670, 1.084, 9.459]], "species": ["Se", "Se", "Se", "Se", "Se", "Se", "Se", "Se", "Se", "Se", "Se", "Se", "As", "As", "As", "As", "Al", "Al"], "frac_coords": [[0.597, 0.320, 0.458], [0.842, 0.866, 0.375], [0.403, 0.680, 0.542], [0.658, 0.625, 0.134], [0.097, 0.458, 0.320], [0.559, 0.965, 0.883], [0.903, 0.542, 0.680], [0.059, 0.883, 0.965], [0.941, 0.117, 0.035], [0.441, 0.035, 0.117], [0.342, 0.375, 0.866], [0.158, 0.134, 0.625], [0.877, 0.383, 0.221], [0.623, 0.779, 0.617], [0.377, 0.221, 0.383], [0.123, 0.617, 0.779], [0.250, 0.181, 0.819], [0.750, 0.819, 0.181]]}



[9]
{"formula": "RePWN2", "functional": "PBE", "state": "relaxed", "magmom_total_mub_per_fu": 3.6, "dft_energy_ev_per_atom": -8.38, "space_group": "P4/mmm", "e_form_raw_ev_per_atom": 1.117, "lattice": [[-2.025, -1.167, -3.058], [-1.421, -4.277, 2.572], [-3.099, 1.841, 1.349]], "species": ["Re", "P", "W", "N", "N"], "frac_coords": [[0.500, 0.500, 0.500], [0.000, 0.500, 0.000], [0.000, 0.000, 0.000], [0.000, 0.000, 0.500], [0.500, 0.000, 0.000]]}



[10]
{"formula": "AgOsCl2", "functional": "PBE", "state": "relaxed", "magmom_total_mub_per_fu": 0.0, "de_polymorph_mev_per_atom": 229, "dft_energy_ev_per_atom": -3.96, "space_group": "R-3m", "e_form_raw_ev_per_atom": 0.479, "lattice": [[9.787, -0.084, -0.049], [9.179, 3.398, -0.049], [9.179, 1.604, 2.996]], "species": ["Os", "Cl", "Cl", "Ag"], "frac_coords": [[0.250, 0.250, 0.250], [0.540, 0.540, 0.540], [0.960, 0.960, 0.960], [0.750, 0.750, 0.750]]}



[11]
{"formula": "Sm12Tl6Pd", "functional": "PBE", "state": "relaxed", "magmom_total_mub_per_fu": 0.0, "dft_energy_ev_per_atom": -4.19, "space_group": "R-3", "lattice": [[-7.278, 1.856, -3.899], [3.609, -2.962, -7.058], [-2.675, -7.647, 2.444]], "species": ["Sm", "Sm", "Sm", "Sm", "Sm", "Sm", "Sm", "Sm", "Sm", "Sm", "Sm", "Sm", "Tl", "Tl", "Tl", "Tl", "Tl", "Tl", "Pd"], "frac_coords": [[0.024, 0.900, 0.676], [0.433, 0.547, 0.201], [0.453, 0.799, 0.567], [0.100, 0.324, 0.976], [0.676, 0.024, 0.900], [0.324, 0.976, 0.100], [0.567, 0.453, 0.799], [0.799, 0.567, 0.453], [0.547, 0.201, 0.433], [0.201, 0.433, 0.547], [0.976, 0.100, 0.324], [0.900, 0.676, 0.024], [0.864, 0.268, 0.662], [0.732, 0.338, 0.136], [0.268, 0.662, 0.864], [0.338, 0.136, 0.732], [0.136, 0.732, 0.338], [0.662, 0.864, 0.268], [0.000, 0.000, 0.000]]}



[12]
{"formula": "Ba2TbReN4", "functional": "PBE", "state": "relaxed", "magmom_total_mub_per_fu": 0.0, "dft_energy_ev_per_atom": -7.15, "space_group": "Fddd", "e_form_raw_ev_per_atom": -0.376, "lattice": [[-1.147, -1.814, -5.571], [2.955, -5.771, -1.928], [-8.956, -6.371, 0.720]], "species": ["Ba", "Ba", "Ba", "Ba", "N", "N", "N", "N", "N", "N", "N", "N", "Tb", "Tb", "Re", "Re"], "frac_coords": [[0.184, 0.000, 0.632], [0.816, 0.000, 0.368], [0.566, 0.500, 0.868], [0.934, 0.500, 0.132], [0.563, 0.182, 0.087], [0.255, 0.182, 0.913], [0.187, 0.318, 0.413], [0.918, 0.682, 0.587], [0.832, 0.818, 0.913], [0.400, 0.682, 0.413], [0.495, 0.318, 0.587], [0.350, 0.818, 0.087], [0.750, 0.500, 0.500], [0.000, 0.000, 0.000], [0.500, 0.000, 0.000], [0.250, 0.500, 0.500]]}



[13]
{"formula": "Ac3Cd2Au2", "functional": "PBE", "state": "relaxed", "magmom_total_mub_per_fu": 0.0, "dft_energy_ev_per_atom": -3.42, "space_group": "C2/m", "lattice": [[4.296, -0.001, -1.197], [-2.319, 3.806, -0.015], [1.582, 0.949, 13.949]], "species": ["Cd", "Cd", "Au", "Au", "Ac", "Ac", "Ac"], "frac_coords": [[0.701, 0.849, 0.553], [0.299, 0.151, 0.447], [0.240, 0.619, 0.860], [0.760, 0.381, 0.140], [0.480, 0.239, 0.721], [0.520, 0.761, 0.279], [0.000, 0.000, 0.000]]}



[14]
{"formula": "PuThPaPb", "functional": "PBE", "state": "relaxed", "magmom_total_mub_per_fu": 7.2, "dft_energy_ev_per_atom": -8.58, "space_group": "F-43m", "lattice": [[-4.755, 0.437, 2.509], [-3.955, -3.503, -1.087], [-1.450, -3.660, 3.688]], "species": ["Th", "Pa", "Pu", "Pb"], "frac_coords": [[0.250, 0.250, 0.250], [0.000, 0.000, 0.000], [0.750, 0.750, 0.750], [0.500, 0.500, 0.500]]}



[15]
{"formula": "Ac2Pm3Dy4", "functional": "PBE", "state": "relaxed", "magmom_total_mub_per_fu": 0.0, "de_polymorph_mev_per_atom": 0, "dft_energy_ev_per_atom": -4.46, "space_group": "P3m1", "lattice": [[3.703, 0.000, 0.000], [-1.851, 3.207, 0.000], [0.000, 0.000, 27.137]], "species": ["Dy", "Dy", "Dy", "Dy", "Pm", "Pm", "Pm", "Ac", "Ac"], "frac_coords": [[0.667, 0.333, 0.228], [0.000, 0.000, 0.751], [0.000, 0.000, 0.540], [0.667, 0.333, 0.438], [0.000, 0.000, 0.983], [0.000, 0.000, 0.331], [0.667, 0.333, 0.646], [0.667, 0.333, 0.096], [0.667, 0.333, 0.864]]}



[16]
{"formula": "SbTe2MoC", "functional": "PBE", "state": "relaxed", "magmom_total_mub_per_fu": 2.0, "de_polymorph_mev_per_atom": 411, "dft_energy_ev_per_atom": -4.38, "space_group": "P4/mmm", "e_form_raw_ev_per_atom": 1.713, "lattice": [[-3.490, -2.367, 3.102], [2.929, -4.338, -0.015], [2.610, 1.747, 4.270]], "species": ["Te", "Te", "Mo", "C", "Sb"], "frac_coords": [[0.500, 0.000, 0.000], [0.000, 0.500, 0.000], [0.000, 0.000, 0.000], [0.500, 0.500, 0.500], [0.000, 0.000, 0.500]]}



[17]
{"formula": "Ac2CeDyBi5", "functional": "PBE", "state": "relaxed", "magmom_total_mub_per_fu": 0.8, "dft_energy_ev_per_atom": -4.57, "space_group": "P4/mmm", "lattice": [[-4.414, 0.086, -3.259], [1.489, -4.826, -2.145], [-6.474, -5.827, 8.614]], "species": ["Bi", "Bi", "Bi", "Bi", "Bi", "Ac", "Ac", "Dy", "Ce"], "frac_coords": [[0.000, 0.000, 0.752], [0.000, 0.000, 0.248], [0.500, 0.500, 0.000], [0.000, 0.500, 0.500], [0.500, 0.000, 0.500], [0.500, 0.500, 0.718], [0.500, 0.500, 0.282], [0.000, 0.000, 0.500], [0.000, 0.000, 0.000]]}



[18]
{"formula": "Cs2Na2Cu", "functional": "PBE", "state": "relaxed", "magmom_total_mub_per_fu": 0.0, "de_polymorph_mev_per_atom": 78, "dft_energy_ev_per_atom": -1.38, "space_group": "I4/mmm", "lattice": [[7.824, 0.000, 0.000], [0.000, 7.824, 0.000], [3.912, 3.912, 4.487]], "species": ["Cs", "Cs", "Na", "Na", "Cu"], "frac_coords": [[0.750, 0.250, 0.500], [0.250, 0.750, 0.500], [0.679, 0.679, 0.642], [0.321, 0.321, 0.358], [0.000, 0.000, 0.000]]}



[19]
{"formula": "Y2C", "functional": "PBE", "state": "relaxed", "magmom_total_mub_per_fu": 0.5, "dft_energy_ev_per_atom": -7.68, "space_group": "R-3m", "lattice": [[6.484, 0.000, 0.000], [5.476, 3.473, 0.000], [5.476, 1.590, 3.088]], "species": ["Y", "Y", "C"], "frac_coords": [[0.740, 0.740, 0.740], [0.260, 0.260, 0.260], [0.000, 0.000, 0.000]]}



[20]
{"formula": "ReSb3", "functional": "PBE", "state": "relaxed", "magmom_total_mub_per_fu": 0.0, "de_polymorph_mev_per_atom": 281, "dft_energy_ev_per_atom": -5.62, "space_group": "Cmmm", "e_form_raw_ev_per_atom": 0.587, "lattice": [[3.143, -0.010, 0.000], [-1.401, 2.814, 0.000], [0.000, 0.000, 10.712]], "species": ["Sb", "Sb", "Sb", "Re"], "frac_coords": [[0.500, 0.500, 0.796], [0.000, 0.000, 0.500], [0.500, 0.500, 0.204], [0.000, 0.000, 0.000]]}